Record 1
# BaIn4Pb8, optimized geometry, DFT PBE
data_BaIn4Pb8
_symmetry_space_group_name_H-M 'P 1'
_symmetry_Int_Tables_number 1
_cell_length_a 6.236
_cell_length_b 8.746
_cell_length_c 8.746
_cell_angle_alpha 82.70
_cell_angle_beta 69.12
_cell_angle_gamma 69.12
loop_
_symmetry_equiv_pos_as_xyz
'x,y,z'
loop_
_atom_site_label
_atom_site_type_symbol
_atom_site_fract_x
_atom_site_fract_y
_atom_site_fract_z
_atom_site_occupancy
In1 In 0.000 0.000 0.500 1
In2 In 0.500 0.000 0.500 1
In3 In 0.500 0.500 0.000 1
In4 In 0.000 0.500 0.000 1
Pb1 Pb 0.500 0.784 0.216 1
Pb2 Pb 0.000 0.645 0.355 1
Pb3 Pb 0.284 0.216 0.216 1
Pb4 Pb 0.000 0.355 0.645 1
Pb5 Pb 0.716 0.784 0.784 1
Pb6 Pb 0.355 0.645 0.645 1
Pb7 Pb 0.500 0.216 0.784 1
Pb8 Pb 0.645 0.355 0.355 1
Ba1 Ba 0.000 0.000 0.000 1
# Uncorrected energy, eV/atom: -3.368
# DFT formation energy, eV per atom: -0.0951
# SG: No. 139
# Spin magnetization, μB/f.u.: 0.0



Record 2
# MgFeTc2, optimized geometry, DFT PBE
data_MgFeTc2
_symmetry_space_group_name_H-M 'P 1'
_symmetry_Int_Tables_number 1
_cell_length_a 4.378
_cell_length_b 2.629
_cell_length_c 5.107
_cell_angle_alpha 78.64
_cell_angle_beta 90.00
_cell_angle_gamma 90.00
loop_
_symmetry_equiv_pos_as_xyz
'x,y,z'
loop_
_atom_site_label
_atom_site_type_symbol
_atom_site_fract_x
_atom_site_fract_y
_atom_site_fract_z
_atom_site_occupancy
Tc1 Tc 0.000 0.045 0.001 1
Tc2 Tc 0.000 0.455 0.499 1
Mg1 Mg 0.500 0.750 0.750 1
Fe1 Fe 0.500 0.250 0.250 1
# Uncorrected energy, eV/atom: -7.477
# DFT formation energy, eV per atom: 0.2207
# SG: No. 10
# Spin magnetization, μB/f.u.: 2.1



Record 3
# Na2YSnSe4, optimized geometry, DFT PBE
data_Na2YSnSe4
_symmetry_space_group_name_H-M 'P 1'
_symmetry_Int_Tables_number 1
_cell_length_a 4.110
_cell_length_b 7.227
_cell_length_c 7.418
_cell_angle_alpha 108.63
_cell_angle_beta 90.00
_cell_angle_gamma 90.00
loop_
_symmetry_equiv_pos_as_xyz
'x,y,z'
loop_
_atom_site_label
_atom_site_type_symbol
_atom_site_fract_x
_atom_site_fract_y
_atom_site_fract_z
_atom_site_occupancy
Na1 Na 0.500 0.000 0.500 1
Na2 Na 0.000 0.500 0.500 1
Sn1 Sn 0.500 0.500 0.000 1
Se1 Se 0.000 0.745 0.230 1
Se2 Se 0.500 0.756 0.772 1
Se3 Se 0.000 0.255 0.770 1
Se4 Se 0.500 0.244 0.228 1
Y1 Y 0.000 0.000 0.000 1
# Uncorrected energy, eV/atom: -4.572
# SG: No. 10
# Spin magnetization, μB/f.u.: 0.0



Record 4
# CsTl7Pb2, optimized geometry, DFT PBE
data_CsTl7Pb2
_symmetry_space_group_name_H-M 'P 1'
_symmetry_Int_Tables_number 1
_cell_length_a 5.519
_cell_length_b 8.796
_cell_length_c 8.796
_cell_angle_alpha 102.19
_cell_angle_beta 90.00
_cell_angle_gamma 90.00
loop_
_symmetry_equiv_pos_as_xyz
'x,y,z'
loop_
_atom_site_label
_atom_site_type_symbol
_atom_site_fract_x
_atom_site_fract_y
_atom_site_fract_z
_atom_site_occupancy
Tl1 Tl 0.000 0.638 0.362 1
Tl2 Tl 0.500 0.620 0.873 1
Tl3 Tl 0.500 0.873 0.620 1
Tl4 Tl 0.000 0.362 0.638 1
Tl5 Tl 0.500 0.380 0.127 1
Tl6 Tl 0.500 0.127 0.380 1
Tl7 Tl 0.500 0.500 0.500 1
Pb1 Pb 0.500 0.235 0.765 1
Pb2 Pb 0.500 0.765 0.235 1
Cs1 Cs 0.000 0.000 0.000 1
# Uncorrected energy, eV/atom: -2.396
# DFT formation energy, eV per atom: 0.0870
# SG: No. 65
# Spin magnetization, μB/f.u.: 0.0



Record 5
# Pa6AsP5, optimized geometry, DFT PBE
data_Pa6AsP5
_symmetry_space_group_name_H-M 'P 1'
_symmetry_Int_Tables_number 1
_cell_length_a 6.913
_cell_length_b 6.913
_cell_length_c 6.908
_cell_angle_alpha 59.98
_cell_angle_beta 80.42
_cell_angle_gamma 70.57
loop_
_symmetry_equiv_pos_as_xyz
'x,y,z'
loop_
_atom_site_label
_atom_site_type_symbol
_atom_site_fract_x
_atom_site_fract_y
_atom_site_fract_z
_atom_site_occupancy
Pa1 Pa 0.745 0.425 0.660 1
Pa2 Pa 0.253 0.256 0.000 1
Pa3 Pa 0.745 0.085 0.340 1
Pa4 Pa 0.255 0.575 0.340 1
Pa5 Pa 0.747 0.744 0.000 1
Pa6 Pa 0.255 0.915 0.660 1
P1 P 0.500 0.837 0.327 1
P2 P 0.500 0.500 0.000 1
P3 P 0.000 0.667 0.666 1
P4 P 0.500 0.163 0.673 1
P5 P 0.000 0.333 0.334 1
As1 As 0.000 0.000 0.000 1
# Uncorrected energy, eV/atom: -8.673
# DFT formation energy, eV per atom: -1.2831
# SG: No. 12
# Spin magnetization, μB/f.u.: 0.0



Record 6
# Nd2AlGa6Pt, optimized geometry, DFT PBE
data_Nd2AlGa6Pt
_symmetry_space_group_name_H-M 'P 1'
_symmetry_Int_Tables_number 1
_cell_length_a 6.418
_cell_length_b 6.418
_cell_length_c 12.588
_cell_angle_alpha 75.23
_cell_angle_beta 75.23
_cell_angle_gamma 60.00
loop_
_symmetry_equiv_pos_as_xyz
'x,y,z'
loop_
_atom_site_label
_atom_site_type_symbol
_atom_site_fract_x
_atom_site_fract_y
_atom_site_fract_z
_atom_site_occupancy
Ga1 Ga 0.674 0.229 0.869 1
Ga2 Ga 0.229 0.229 0.869 1
Ga3 Ga 0.336 0.952 0.376 1
Ga4 Ga 0.229 0.674 0.869 1
Ga5 Ga 0.952 0.336 0.376 1
Ga6 Ga 0.771 0.771 0.131 1
Ga7 Ga 0.326 0.771 0.131 1
Ga8 Ga 0.771 0.326 0.131 1
Ga9 Ga 0.664 0.664 0.624 1
Ga10 Ga 0.336 0.336 0.376 1
Ga11 Ga 0.664 0.048 0.624 1
Ga12 Ga 0.048 0.664 0.624 1
Pt1 Pt 0.432 0.432 0.703 1
Pt2 Pt 0.568 0.568 0.297 1
Nd1 Nd 0.299 0.299 0.102 1
Nd2 Nd 0.116 0.116 0.653 1
Nd3 Nd 0.701 0.701 0.898 1
Nd4 Nd 0.884 0.884 0.347 1
Al1 Al 0.000 0.000 0.000 1
Al2 Al 0.500 0.500 0.500 1
# Uncorrected energy, eV/atom: -4.165
# DFT formation energy, eV per atom: -0.4168
# SG: No. 166
# Spin magnetization, μB/f.u.: 0.0



Record 7
# CaSb2Se, optimized geometry, DFT PBE
data_CaSb2Se
_symmetry_space_group_name_H-M 'P 1'
_symmetry_Int_Tables_number 1
_cell_length_a 4.290
_cell_length_b 4.291
_cell_length_c 6.517
_cell_angle_alpha 90.00
_cell_angle_beta 90.00
_cell_angle_gamma 90.00
loop_
_symmetry_equiv_pos_as_xyz
'x,y,z'
loop_
_atom_site_label
_atom_site_type_symbol
_atom_site_fract_x
_atom_site_fract_y
_atom_site_fract_z
_atom_site_occupancy
Se1 Se 0.000 0.000 0.647 1
Ca1 Ca 0.500 0.500 0.641 1
Sb1 Sb 0.500 0.500 0.142 1
Sb2 Sb 0.000 0.000 0.071 1
# Uncorrected energy, eV/atom: -4.218
# SG: No. 99
# Spin magnetization, μB/f.u.: 0.0



Record 8
# Y2Er9Tm, optimized geometry, DFT PBE
data_Y2Er9Tm
_symmetry_space_group_name_H-M 'P 1'
_symmetry_Int_Tables_number 1
_cell_length_a 3.465
_cell_length_b 11.119
_cell_length_c 11.119
_cell_angle_alpha 120.00
_cell_angle_beta 90.00
_cell_angle_gamma 90.00
loop_
_symmetry_equiv_pos_as_xyz
'x,y,z'
loop_
_atom_site_label
_atom_site_type_symbol
_atom_site_fract_x
_atom_site_fract_y
_atom_site_fract_z
_atom_site_occupancy
Er1 Er 0.500 0.649 0.825 1
Er2 Er 0.500 0.825 0.649 1
Er3 Er 0.500 0.175 0.351 1
Er4 Er 0.500 0.351 0.175 1
Er5 Er 0.000 0.500 0.500 1
Er6 Er 0.000 0.000 0.500 1
Er7 Er 0.500 0.825 0.175 1
Er8 Er 0.000 0.500 0.000 1
Er9 Er 0.500 0.175 0.825 1
Tm1 Tm 0.000 0.000 0.000 1
Y1 Y 0.000 0.667 0.333 1
Y2 Y 0.000 0.333 0.667 1
# Uncorrected energy, eV/atom: -4.804
# DFT formation energy, eV per atom: 0.0684
# Polymorph energy (0 for the lowest one), meV per atom: 42
# SG: No. 191
# Spin magnetization, μB/f.u.: 0.0



Record 9
# LiAc3Pd3, optimized geometry, DFT PBE
data_LiAc3Pd3
_symmetry_space_group_name_H-M 'P 1'
_symmetry_Int_Tables_number 1
_cell_length_a 6.139
_cell_length_b 9.064
_cell_length_c 9.064
_cell_angle_alpha 120.00
_cell_angle_beta 90.00
_cell_angle_gamma 90.00
loop_
_symmetry_equiv_pos_as_xyz
'x,y,z'
loop_
_atom_site_label
_atom_site_type_symbol
_atom_site_fract_x
_atom_site_fract_y
_atom_site_fract_z
_atom_site_occupancy
Li1 Li 0.750 0.333 0.667 1
Li2 Li 0.250 0.667 0.333 1
Ac1 Ac 0.250 0.062 0.699 1
Ac2 Ac 0.750 0.938 0.301 1
Ac3 Ac 0.750 0.699 0.637 1
Ac4 Ac 0.250 0.637 0.938 1
Ac5 Ac 0.250 0.301 0.363 1
Ac6 Ac 0.750 0.363 0.062 1
Pd1 Pd 0.750 0.313 0.371 1
Pd2 Pd 0.250 0.942 0.313 1
Pd3 Pd 0.750 0.058 0.687 1
Pd4 Pd 0.250 0.687 0.629 1
Pd5 Pd 0.250 0.371 0.058 1
Pd6 Pd 0.750 0.629 0.942 1
# Uncorrected energy, eV/atom: -4.834
# DFT formation energy, eV per atom: -0.5740
# Polymorph energy (0 for the lowest one), meV per atom: 105
# SG: No. 176
# Spin magnetization, μB/f.u.: 0.0



Record 10
# CuIr2W, optimized geometry, DFT PBE
data_CuIr2W
_symmetry_space_group_name_H-M 'P 1'
_symmetry_Int_Tables_number 1
_cell_length_a 4.634
_cell_length_b 4.634
_cell_length_c 4.634
_cell_angle_alpha 129.80
_cell_angle_beta 129.80
_cell_angle_gamma 73.72
loop_
_symmetry_equiv_pos_as_xyz
'x,y,z'
loop_
_atom_site_label
_atom_site_type_symbol
_atom_site_fract_x
_atom_site_fract_y
_atom_site_fract_z
_atom_site_occupancy
W1 W 0.250 0.750 0.500 1
Cu1 Cu 0.750 0.250 0.500 1
Ir1 Ir 0.000 0.000 0.000 1
Ir2 Ir 0.500 0.500 0.000 1
# Uncorrected energy, eV/atom: -8.852
# DFT formation energy, eV per atom: -0.1589
# Polymorph energy (0 for the lowest one), meV per atom: 0
# SG: No. 139
# Spin magnetization, μB/f.u.: 0.0